Record 1
## ErTmB4 (PBE)

Data for an optimized crystal structure of ErTmB4.

Cell and atoms, written as POSCAR:
```
ErTmB4
1.0
-1.929 -1.798 -1.928
3.230 0.026 -0.488
0.757 -5.861 4.706
B Tm Er
4 1 1
Cartesian
0.357 -5.573 2.071 B
2.077 -4.965 2.551 B
1.701 -2.060 0.219 B
-0.018 -2.668 -0.261 B
0.379 -2.931 2.353 Tm
0.000 0.000 0.000 Er
```

Total magnetization in μB per cell: 0.00



Record 2
## ErTmB4 (PBE)

Data for an optimized crystal structure of ErTmB4.

Cell and atoms, written as POSCAR:
```
ErTmB4
1.0
3.073 -0.541 3.898
2.569 4.252 -0.506
-4.564 -1.727 1.061
Er B Tm
1 4 1
Cartesian
2.821 1.855 1.696 Er
0.914 0.172 2.501 B
0.662 2.568 0.299 B
0.165 1.812 1.952 B
0.417 -0.584 4.155 B
0.000 0.000 0.000 Tm
```

Total magnetization in μB per cell: 0.01



Record 3
## ErBW (PBE)

Data for an optimized crystal structure of ErBW.

Cell and atoms, written as POSCAR:
```
ErBW
1.0
-3.935 -1.058 -0.594
-3.018 2.415 1.418
-2.333 2.140 -2.633
Er B W
1 1 1
Cartesian
-2.321 0.874 -0.452 Er
0.000 0.000 0.000 B
-6.964 2.623 -1.356 W
```

Excess energy over the best structure of this formula in the dataset in meV/atom: 0
Total magnetization in μB per cell: 0.02



Number 1: VASP energy -0.4847 Ry per atom, density 9.027 g/cm3. Number 2: VASP energy -0.4847 Ry per atom, density 9.033 g/cm3. Number 3: VASP energy -0.5578 Ry per atom, density 12.175 g/cm3.